No. 1
First-principles (PBEsol) data for crystalline Ta2NiPt at its relaxed geometry, as listed in Alexandria.

Cell lengths 3.2220, 3.2220, 5.8859 Å; angles 90.00, 90.00, 90.00 degrees
Last column: nearest neighbours and their distance in Å.
Element x y z (fractional)
Ta 0.0000 0.0000 0.0000  4 Pt 2.68, 4 Ta 2.89, 2 Ni 2.89-2.99
Ta 0.5000 0.5000 0.3022  4 Ni 2.58, 1 Pt 2.69, 4 Ta 2.89
Ni 0.0000 0.0000 0.5083  4 Ta 2.58, 4 Pt 2.72
Pt 0.5000 0.5000 0.7601  5 Ta 2.68-2.69, 4 Ni 2.72

Results
Energy relative to the elements, eV/atom: -0.448
E_tot, eV/atom: -10.004



No. 2
First-principles (PBEsol) data for crystalline Li4Fe3O2F6 at its relaxed geometry, as listed in Alexandria.

Cell lengths 4.9641, 5.2882, 5.7803 Å; angles 72.87, 89.00, 80.01 degrees
Last column: nearest neighbours and their distance in Å.
Element x y z (fractional)
Li 0.2359 0.4753 0.1346  2 O 1.97-2.10, 4 F 2.01-2.12
Li 0.2575 0.5045 0.6335  4 F 1.97-2.02, 1 O 1.98
Li 0.7425 0.4955 0.3665  4 F 1.97-2.02, 1 O 1.98
Li 0.7641 0.5247 0.8654  2 O 1.97-2.10, 4 F 2.01-2.12
Fe 0.0023 0.9970 0.2127  2 O 2.00-2.01, 4 F 2.12-2.19
Fe 0.5000 0.0000 0.0000  2 O 2.02, 4 F 2.13-2.18
Fe 0.9977 0.0030 0.7873  2 O 2.00-2.01, 4 F 2.12-2.19
O 0.1402 0.2591 0.9320  3 Li 1.97-2.10, 3 Fe 2.00-2.02
O 0.8598 0.7409 0.0680  3 Li 1.97-2.10, 3 Fe 2.00-2.02
F 0.0960 0.2430 0.4366  2 Li 1.98-2.01, 2 Fe 2.15-2.19
F 0.3688 0.7077 0.3140  3 Li 1.97-2.02, 2 Fe 2.13-2.18
F 0.3770 0.7370 0.8208  3 Li 2.02-2.12, 2 Fe 2.12-2.13
F 0.6230 0.2630 0.1792  3 Li 2.02-2.12, 2 Fe 2.12-2.13
F 0.6312 0.2923 0.6860  3 Li 1.97-2.02, 2 Fe 2.13-2.18
F 0.9040 0.7570 0.5634  2 Li 1.98-2.01, 2 Fe 2.15-2.19

Results
E_tot, eV/atom: -5.896
Formation energy without anion corrections, meV per atom: -2108



No. 3
First-principles (PBEsol) data for crystalline Co3SnH at its relaxed geometry, as listed in Alexandria.

Cell lengths 3.6791, 3.6791, 3.6791 Å; angles 90.00, 90.00, 90.00 degrees
Last column: nearest neighbours and their distance in Å.
Element x y z (fractional)
Co 0.0000 0.0000 0.5000  2 H 1.84
Co 0.0000 0.5000 0.0000  2 H 1.84
Co 0.5000 0.0000 0.0000  2 H 1.84
Sn 0.5000 0.5000 0.5000  12 Co 2.60
H 0.0000 0.0000 0.0000  6 Co 1.84

Results
E_tot, eV/atom: -6.230



No. 4
First-principles (PBEsol) data for crystalline ScGa2BiBr at its relaxed geometry, as listed in Alexandria.

Cell lengths 5.3793, 5.3793, 4.8882 Å; angles 90.00, 90.00, 90.00 degrees
Last column: nearest neighbours and their distance in Å.
Element x y z (fractional)
Sc 0.0000 0.0000 0.0000  2 Br 2.44, 4 Ga 2.69
Ga 0.0000 0.5000 0.0000  2 Sc 2.69
Ga 0.5000 0.0000 0.0000  2 Sc 2.69
Bi 0.5000 0.5000 0.5000  8 Ga 3.63, 4 Br 3.80
Br 0.0000 0.0000 0.5000  2 Sc 2.44

Results
E_tot, eV/atom: -3.728
Formation energy without anion corrections, meV per atom: 160



No. 5
First-principles (PBEsol) data for crystalline CrInCu at its relaxed geometry, as listed in Alexandria.

Cell lengths 2.8008, 2.8008, 6.5118 Å; angles 90.00, 90.00, 120.00 degrees
Last column: nearest neighbours and their distance in Å.
Element x y z (fractional)
Cr 0.0000 0.0000 0.0000  3 Cu 2.53, 3 In 2.79, 6 Cr 2.80
In 0.3333 0.6667 0.3484  3 Cr 2.79, 6 In 2.80, 3 Cu 2.81
Cu 0.6667 0.3333 0.7015  3 Cr 2.53, 6 Cu 2.80, 3 In 2.81

Results
Energy relative to the elements, eV/atom: 0.595
E_tot, eV/atom: -5.258



No. 6
First-principles (PBEsol) data for crystalline TiSbI2 at its relaxed geometry, as listed in Alexandria.

Cell lengths 5.1675, 5.1675, 5.1675 Å; angles 60.00, 60.00, 60.00 degrees
Last column: nearest neighbours and their distance in Å.
Element x y z (fractional)
Ti 0.0000 0.0000 0.0000  8 I 3.16
Sb 0.5000 0.5000 0.5000  8 I 3.16
I 0.2500 0.2500 0.2500  4 Sb 3.16, 4 Ti 3.16
I 0.7500 0.7500 0.7500  4 Sb 3.16, 4 Ti 3.16

Results
E_tot, eV/atom: -3.843
Formation energy without anion corrections, meV per atom: 260



No. 7
First-principles (PBEsol) data for crystalline CsPdBr3 at its relaxed geometry, as listed in Alexandria.

Cell lengths 10.0474, 10.0474, 10.0474 Å; angles 113.81, 90.43, 126.07 degrees
Last column: nearest neighbours and their distance in Å.
Element x y z (fractional)
Cs 0.0736 0.2500 0.8236  10 Br 3.66-3.89
Cs 0.4264 0.2500 0.1764  10 Br 3.66-3.89
Cs 0.5736 0.7500 0.8236  10 Br 3.66-3.89
Cs 0.9264 0.7500 0.1764  10 Br 3.66-3.89
Pd 0.0536 0.6465 0.7001  4 Br 2.40-2.44
Pd 0.4464 0.1465 0.5929  4 Br 2.40-2.44
Pd 0.5536 0.8535 0.4071  4 Br 2.40-2.44
Pd 0.9464 0.3535 0.2999  4 Br 2.40-2.44
Br 0.0032 0.1472 0.1504  1 Pd 2.40
Br 0.1064 0.4355 0.5419  2 Pd 2.43-2.44
Br 0.2142 0.7191 0.9333  1 Pd 2.41
Br 0.2858 0.2191 0.5050  1 Pd 2.41
Br 0.3936 0.9355 0.3292  2 Pd 2.43-2.44
Br 0.4968 0.6472 0.1440  1 Pd 2.40
Br 0.5032 0.3528 0.8560  1 Pd 2.40
Br 0.6064 0.0645 0.6708  2 Pd 2.43-2.44
Br 0.7142 0.7809 0.4950  1 Pd 2.41
Br 0.7858 0.2809 0.0667  1 Pd 2.41
Br 0.8936 0.5645 0.4581  2 Pd 2.43-2.44
Br 0.9968 0.8528 0.8496  1 Pd 2.40

Results
E_tot, eV/atom: -3.411
Formation energy without anion corrections, meV per atom: -909



No. 8
First-principles (PBEsol) data for crystalline Cd2RuCl2 at its relaxed geometry, as listed in Alexandria.

Cell lengths 5.2188, 5.2188, 5.2188 Å; angles 118.60, 118.60, 92.44 degrees
Last column: nearest neighbours and their distance in Å.
Element x y z (fractional)
Cd 0.2500 0.7500 0.5000  4 Cl 2.70
Cd 0.7500 0.2500 0.5000  4 Cl 2.70
Ru 0.0000 0.0000 0.0000  2 Cl 2.25
Cl 0.3121 0.3121 0.0000  1 Ru 2.25
Cl 0.6879 0.6879 0.0000  1 Ru 2.25

Results
E_tot, eV/atom: -2.938
Formation energy without anion corrections, meV per atom: 378



No. 9
First-principles (PBEsol) data for crystalline CoRhI2N at its relaxed geometry, as listed in Alexandria.

Cell lengths 5.1587, 5.1587, 3.3584 Å; angles 90.00, 90.00, 90.00 degrees
Last column: nearest neighbours and their distance in Å.
Element x y z (fractional)
Co 0.0000 0.0000 0.0000  2 N 1.68
Rh 0.5000 0.5000 0.5000  8 I 3.08, 2 Rh 3.36
I 0.0000 0.5000 0.0000  2 Co 2.58
I 0.5000 0.0000 0.0000  2 Co 2.58
N 0.0000 0.0000 0.5000  2 Co 1.68

Results
E_tot, eV/atom: -4.959
Formation energy without anion corrections, meV per atom: 629



No. 10
First-principles (PBEsol) data for crystalline BaP2PbO7 at its relaxed geometry, as listed in Alexandria.

Cell lengths 9.1121, 5.6035, 13.4354 Å; angles 90.00, 90.00, 90.00 degrees
Last column: nearest neighbours and their distance in Å.
Element x y z (fractional)
Ba 0.1581 0.2500 0.2398  7 O 2.66-2.78
Ba 0.3419 0.7500 0.7398  7 O 2.66-2.78
Ba 0.6581 0.2500 0.2602  7 O 2.66-2.78
Ba 0.8419 0.7500 0.7602  7 O 2.66-2.78
P 0.0429 0.2500 0.6798  4 O 1.53-1.62
P 0.2159 0.7500 0.0335  4 O 1.52-1.62
P 0.2841 0.2500 0.5335  4 O 1.52-1.62
P 0.4571 0.7500 0.1798  4 O 1.53-1.62
P 0.5429 0.2500 0.8202  4 O 1.53-1.62
P 0.7159 0.7500 0.4665  4 O 1.52-1.62
P 0.7841 0.2500 0.9665  4 O 1.52-1.62
P 0.9571 0.7500 0.3202  4 O 1.53-1.62
Pb 0.1343 0.2500 0.9118  5 O 2.43-2.71
Pb 0.3657 0.7500 0.4118  5 O 2.43-2.71
Pb 0.6343 0.2500 0.5882  5 O 2.43-2.71
Pb 0.8657 0.7500 0.0882  5 O 2.43-2.71
O 0.0935 0.0254 0.7353  1 P 1.53
O 0.0935 0.4746 0.7353  1 P 1.53
O 0.1144 0.2500 0.5696  2 P 1.62
O 0.1227 0.7500 0.3367  1 P 1.53
O 0.1412 0.5238 0.0739  1 P 1.54
O 0.1412 0.9762 0.0739  1 P 1.54
O 0.2218 0.7500 0.9203  1 P 1.52
O 0.2782 0.2500 0.4203  1 P 1.52
O 0.3588 0.0238 0.5739  1 P 1.54
O 0.3588 0.4762 0.5739  1 P 1.54
O 0.3773 0.2500 0.8367  1 P 1.53
O 0.3856 0.7500 0.0696  2 P 1.62
O 0.4065 0.5254 0.2353  1 P 1.53
O 0.4065 0.9746 0.2353  1 P 1.53
O 0.5935 0.0254 0.7647  1 P 1.53
O 0.5935 0.4746 0.7647  1 P 1.53
O 0.6144 0.2500 0.9304  2 P 1.62
O 0.6227 0.7500 0.1633  1 P 1.53
O 0.6412 0.5238 0.4261  1 P 1.54
O 0.6412 0.9762 0.4261  1 P 1.54
O 0.7218 0.7500 0.5797  1 P 1.52
O 0.7782 0.2500 0.0797  1 P 1.52
O 0.8588 0.0238 0.9261  1 P 1.54
O 0.8588 0.4762 0.9261  1 P 1.54
O 0.8773 0.2500 0.6633  1 P 1.53
O 0.8856 0.7500 0.4304  2 P 1.62
O 0.9065 0.5254 0.2647  1 P 1.53
O 0.9065 0.9746 0.2647  1 P 1.53

Results
E_tot, eV/atom: -7.342
Formation energy without anion corrections, meV per atom: -2390



No. 11
First-principles (PBEsol) data for crystalline AlPbSe3 at its relaxed geometry, as listed in Alexandria.

Cell lengths 4.8929, 4.8929, 4.8929 Å; angles 90.00, 90.00, 90.00 degrees
Last column: nearest neighbours and their distance in Å.
Element x y z (fractional)
Al 0.0000 0.0000 0.0000  6 Se 2.45
Pb 0.5000 0.5000 0.5000  12 Se 3.46
Se 0.0000 0.0000 0.5000  2 Al 2.45
Se 0.0000 0.5000 0.0000  2 Al 2.45
Se 0.5000 0.0000 0.0000  2 Al 2.45

Results
E_tot, eV/atom: -4.250
Formation energy without anion corrections, meV per atom: -322



No. 12
First-principles (PBEsol) data for crystalline TiBe2Zn at its relaxed geometry, as listed in Alexandria.

Cell lengths 7.9413, 7.9413, 7.9413 Å; angles 151.96, 151.96, 40.07 degrees
Last column: nearest neighbours and their distance in Å.
Element x y z (fractional)
Ti 0.3750 0.6250 0.7500  4 Zn 2.72, 8 Be 2.85
Ti 0.6250 0.3750 0.2500  4 Zn 2.72, 8 Be 2.85
Be 0.0000 0.0000 0.0000  2 Be 1.92, 2 Zn 2.10
Be 0.0000 0.0000 0.5000  2 Be 1.92, 2 Zn 2.10
Be 0.0000 0.5000 0.0000  2 Be 1.92, 2 Zn 2.10
Be 0.5000 0.0000 0.5000  2 Be 1.92, 2 Zn 2.10
Zn 0.1250 0.8750 0.2500  4 Be 2.10
Zn 0.8750 0.1250 0.7500  4 Be 2.10

Results
Energy relative to the elements, eV/atom: 0.484
E_tot, eV/atom: -3.992



No. 13
First-principles (PBEsol) data for crystalline SbPtPb2W at its relaxed geometry, as listed in Alexandria.

Cell lengths 5.3139, 5.3139, 4.8812 Å; angles 90.00, 90.00, 90.00 degrees
Last column: nearest neighbours and their distance in Å.
Element x y z (fractional)
Sb 0.0000 0.0000 0.0000  8 Pb 3.61, 4 Pt 3.76
Pt 0.5000 0.5000 0.0000  2 W 2.44
Pb 0.0000 0.5000 0.5000  2 W 2.66
Pb 0.5000 0.0000 0.5000  2 W 2.66
W 0.5000 0.5000 0.5000  2 Pt 2.44, 4 Pb 2.66

Results
E_tot, eV/atom: -5.681
Formation energy without anion corrections, meV per atom: 984



No. 14
First-principles (PBEsol) data for crystalline Ba3Mo at its relaxed geometry, as listed in Alexandria.

Cell lengths 5.3427, 5.3427, 5.3427 Å; angles 90.00, 90.00, 90.00 degrees
Last column: nearest neighbours and their distance in Å.
Element x y z (fractional)
Ba 0.0000 0.0000 0.5000  8 Ba 3.78, 4 Mo 3.78
Ba 0.0000 0.5000 0.0000  8 Ba 3.78, 4 Mo 3.78
Ba 0.5000 0.0000 0.0000  8 Ba 3.78, 4 Mo 3.78
Mo 0.5000 0.5000 0.5000  12 Ba 3.78

Results
Energy relative to the elements, eV/atom: 0.996
E_tot, eV/atom: -3.558



No. 15
First-principles (PBEsol) data for crystalline Sb2RuPtI at its relaxed geometry, as listed in Alexandria.

Cell lengths 5.1093, 5.1093, 5.3373 Å; angles 90.00, 90.00, 90.00 degrees
Last column: nearest neighbours and their distance in Å.
Element x y z (fractional)
Sb 0.0000 0.5000 0.0000  2 Pt 2.55
Sb 0.5000 0.0000 0.0000  2 Pt 2.55
Ru 0.0000 0.0000 0.5000  4 I 3.61, 8 Sb 3.69
Pt 0.5000 0.5000 0.0000  4 Sb 2.55, 2 I 2.67
I 0.5000 0.5000 0.5000  2 Pt 2.67

Results
E_tot, eV/atom: -4.386
Formation energy without anion corrections, meV per atom: 1218



No. 16
First-principles (PBEsol) data for crystalline NiOs2Br at its relaxed geometry, as listed in Alexandria.

Cell lengths 2.7826, 3.4693, 6.6414 Å; angles 90.00, 90.00, 90.00 degrees
Last column: nearest neighbours and their distance in Å.
Element x y z (fractional)
Ni 0.0000 0.0000 0.0000  2 Br 2.57, 5 Os 2.57-2.61, 2 Ni 2.78
Os 0.0000 0.0000 0.6124  6 Os 2.53-2.78, 1 Ni 2.57, 2 Br 2.78
Os 0.5000 0.5000 0.7947  6 Os 2.53-2.78, 4 Ni 2.61
Br 0.0000 0.5000 0.2855  2 Ni 2.57, 2 Os 2.78, 2 Br 2.78

Results
Energy above the most stable polymorph in this dataset, eV/atom: 0.000
E_tot, eV/atom: -7.479
Formation energy without anion corrections, meV per atom: 636



No. 17
First-principles (PBEsol) data for crystalline CaLa3H at its relaxed geometry, as listed in Alexandria.

Cell lengths 5.2179, 5.2179, 5.2179 Å; angles 90.00, 90.00, 90.00 degrees
Last column: nearest neighbours and their distance in Å.
Element x y z (fractional)
Ca 0.0000 0.0000 0.0000  12 La 3.69
La 0.0000 0.5000 0.5000  2 H 2.61
La 0.5000 0.0000 0.5000  2 H 2.61
La 0.5000 0.5000 0.0000  2 H 2.61
H 0.5000 0.5000 0.5000  6 La 2.61

Results
E_tot, eV/atom: -4.421



No. 18
First-principles (PBEsol) data for crystalline FeAs2O7 at its relaxed geometry, as listed in Alexandria.

Cell lengths 5.0006, 5.0006, 4.6649 Å; angles 99.15, 99.15, 98.93 degrees
Last column: nearest neighbours and their distance in Å.
Element x y z (fractional)
Fe 0.0000 0.0000 0.0000  6 O 1.85-1.86
As 0.1459 0.4217 0.5961  4 O 1.71-1.77
As 0.5783 0.8541 0.4039  4 O 1.71-1.77
O 0.0197 0.7140 0.6989  1 As 1.71, 1 Fe 1.86
O 0.2471 0.2559 0.8804  1 As 1.72, 1 Fe 1.85
O 0.2860 0.9803 0.3011  1 As 1.71, 1 Fe 1.86
O 0.4670 0.5330 0.5000  2 As 1.77
O 0.7280 0.0844 0.7299  1 As 1.74, 1 Fe 1.85
O 0.7441 0.7529 0.1196  1 As 1.72, 1 Fe 1.85
O 0.9156 0.2720 0.2701  1 As 1.74, 1 Fe 1.85

Results
E_tot, eV/atom: -6.643
Formation energy without anion corrections, meV per atom: -1051



No. 19
First-principles (PBEsol) data for crystalline SrLaCo2 at its relaxed geometry, as listed in Alexandria.

Cell lengths 3.4705, 3.4705, 7.0488 Å; angles 90.00, 90.00, 90.00 degrees
Last column: nearest neighbours and their distance in Å.
Element x y z (fractional)
Sr 0.0000 0.0000 0.0000  8 Co 3.24, 4 Sr 3.47, 2 La 3.52
La 0.0000 0.0000 0.5000  8 Co 2.83
Co 0.5000 0.5000 0.3001  1 Co 2.82, 4 La 2.83
Co 0.5000 0.5000 0.6999  1 Co 2.82, 4 La 2.83

Results
Energy relative to the elements, eV/atom: 0.333
Energy above the most stable polymorph in this dataset, eV/atom: 0.012
E_tot, eV/atom: -5.332



No. 20
First-principles (PBEsol) data for crystalline K2CePCO7 at its relaxed geometry, as listed in Alexandria.

Cell lengths 5.5245, 7.2885, 10.0722 Å; angles 90.00, 91.16, 90.00 degrees
Last column: nearest neighbours and their distance in Å.
Element x y z (fractional)
K 0.2419 0.0179 0.2915  5 O 2.57-2.88
K 0.2419 0.4821 0.2915  5 O 2.57-2.88
K 0.7581 0.5179 0.7085  5 O 2.57-2.88
K 0.7581 0.9821 0.7085  5 O 2.57-2.88
Ce 0.2959 0.2500 0.8918  6 O 2.36-2.47
Ce 0.7041 0.7500 0.1082  6 O 2.36-2.47
P 0.2056 0.7500 0.9289  4 O 1.55-1.56
P 0.7944 0.2500 0.0711  4 O 1.55-1.56
C 0.2498 0.2500 0.6081  3 O 1.26-1.32
C 0.7502 0.7500 0.3919  3 O 1.26-1.32
O 0.0672 0.2500 0.6909  1 C 1.32
O 0.0743 0.2500 0.0932  1 P 1.56
O 0.2180 0.2500 0.4842  1 C 1.26
O 0.2588 0.7500 0.0817  1 P 1.56
O 0.3190 0.5754 0.8679  1 P 1.55
O 0.3190 0.9246 0.8679  1 P 1.55
O 0.4631 0.2500 0.6668  1 C 1.31
O 0.5369 0.7500 0.3332  1 C 1.31
O 0.6810 0.0754 0.1321  1 P 1.55
O 0.6810 0.4246 0.1321  1 P 1.55
O 0.7412 0.2500 0.9183  1 P 1.56
O 0.7820 0.7500 0.5158  1 C 1.26
O 0.9257 0.7500 0.9068  1 P 1.56
O 0.9328 0.7500 0.3091  1 C 1.32

Results
E_tot, eV/atom: -7.402
Formation energy without anion corrections, meV per atom: -2315